1.
The following is a PBE calculation of a geometry-optimized La4HgPb3 structure, from Alexandria.

## Properties
Formation energy   -0.568 eV/atom
Spin magnetization   0.000 μB per cell
Symmetry   Fmmm, No. 69

Lattice parameters (Å, degrees): 9.7955 9.7940 5.2505 74.47 74.44 31.09
Last column: nearest neighbours and their distance in Å.
Element x y z (fractional)
La 0.1230 0.1230 0.3770  6 Pb 3.44-3.50, 2 Hg 3.44, 4 La 3.71
La 0.3770 0.3770 0.1230  6 Pb 3.44-3.50, 2 Hg 3.44, 4 La 3.71
La 0.6230 0.6230 0.8770  6 Pb 3.44-3.50, 2 Hg 3.44, 4 La 3.71
La 0.8770 0.8770 0.6230  6 Pb 3.44-3.50, 2 Hg 3.44, 4 La 3.71
Hg 0.0000 0.0000 0.0000  8 La 3.44, 4 Pb 3.71
Pb 0.2495 0.2495 0.7505  8 La 3.49-3.50, 4 Pb 3.71
Pb 0.5000 0.5000 0.5000  8 La 3.44, 4 Hg 3.71
Pb 0.7505 0.7505 0.2495  8 La 3.49-3.50, 4 Pb 3.71


2.
The following is a PBE calculation of a geometry-optimized La2Hg2Pb structure, from Alexandria.

## Properties
Formation energy   -0.157 eV/atom
Spin magnetization   0.753 μB per cell
Excess energy over the best structure of this formula in the dataset   31.35 kJ per mole of atoms
Symmetry   I4/mmm, No. 139

Lattice parameters (Å, degrees): 7.0511 7.0511 7.0511 135.37 135.37 64.96
Last column: nearest neighbours and their distance in Å.
Element x y z (fractional)
La 0.2500 0.7500 0.5000  4 Hg 3.14
La 0.7500 0.2500 0.5000  4 Hg 3.14
Hg 0.1125 0.1125 0.0000  1 Hg 2.68
Hg 0.8875 0.8875 0.0000  1 Hg 2.68
Pb 0.5000 0.5000 0.0000  8 La 4.00, 8 Hg 4.02


3.
The following is a PBE calculation of a geometry-optimized La2Hg2Pb structure, from Alexandria.

## Properties
Formation energy   -0.467 eV/atom
Spin magnetization   0.000 μB per cell
Excess energy over the best structure of this formula in the dataset   1.40 kJ per mole of atoms
Symmetry   C2/m, No. 12

Lattice parameters (Å, degrees): 6.4166 6.4166 11.6071 113.10 113.10 44.38
Last column: nearest neighbours and their distance in Å.
Element x y z (fractional)
La 0.0117 0.0117 0.3338  6 Hg 3.34-3.61, 3 Pb 3.41-3.51
La 0.1785 0.1785 0.0948  3 Hg 3.20-3.28, 2 Pb 3.42
La 0.8215 0.8215 0.9052  3 Hg 3.20-3.28, 2 Pb 3.42
La 0.9883 0.9883 0.6662  6 Hg 3.34-3.61, 3 Pb 3.41-3.51
Hg 0.3612 0.3612 0.4523  3 Pb 3.00-3.20, 1 Hg 3.00, 2 La 3.34
Hg 0.4531 0.4531 0.1082  1 Pb 3.04, 1 Hg 3.15, 3 La 3.20-3.28
Hg 0.5469 0.5469 0.8918  1 Pb 3.04, 1 Hg 3.15, 3 La 3.20-3.28
Hg 0.6388 0.6388 0.5477  3 Pb 3.00-3.20, 1 Hg 3.00, 2 La 3.34
Pb 0.2826 0.2826 0.6839  4 Hg 3.00-3.20
Pb 0.7174 0.7174 0.3161  4 Hg 3.00-3.20


4.
The following is a PBE calculation of a geometry-optimized LaHg2Pb structure, from Alexandria.

## Properties
Formation energy   -0.347 eV/atom
Spin magnetization   0.429 μB per cell
Symmetry   P4/mmm, No. 123

Lattice parameters (Å, degrees): 3.8864 3.8864 7.5253 90.00 90.00 90.00
Last column: nearest neighbours and their distance in Å.
Element x y z (fractional)
La 0.0000 0.0000 0.0000  8 Hg 3.35
Hg 0.5000 0.5000 0.2539  4 Pb 3.31, 4 La 3.35, 1 Hg 3.70
Hg 0.5000 0.5000 0.7461  4 Pb 3.31, 4 La 3.35, 1 Hg 3.70
Pb 0.0000 0.0000 0.5000  8 Hg 3.31


5.
The following is a PBE calculation of a geometry-optimized La4Hg2Pb structure, from Alexandria.

## Properties
Formation energy   -0.361 eV/atom
Spin magnetization   1.243 μB per cell
Symmetry   R-3m, No. 166

Lattice parameters (Å, degrees): 9.3831 9.3831 9.3831 34.04 34.04 34.04
Last column: nearest neighbours and their distance in Å.
Element x y z (fractional)
La 0.1167 0.1167 0.1167  4 Hg 3.28-3.48, 3 Pb 3.44
La 0.3690 0.3690 0.3690  4 Hg 3.20-3.43, 1 Pb 3.47
La 0.6310 0.6310 0.6310  4 Hg 3.20-3.43, 1 Pb 3.47
La 0.8833 0.8833 0.8833  4 Hg 3.28-3.48, 3 Pb 3.44
Hg 0.2481 0.2481 0.2481  8 La 3.20-3.48
Hg 0.7519 0.7519 0.7519  8 La 3.20-3.48
Pb 0.5000 0.5000 0.5000  8 La 3.44-3.47, 6 Hg 3.83


6.
The following is a PBE calculation of a geometry-optimized La2HgPb structure, from Alexandria.

## Properties
Formation energy   -0.372 eV/atom
Spin magnetization   0.000 μB per cell
Symmetry   Pmmm, No. 47

Lattice parameters (Å, degrees): 3.8493 5.4123 6.6240 90.00 90.00 90.00
Last column: nearest neighbours and their distance in Å.
Element x y z (fractional)
La 0.0000 0.0000 0.0000  2 Hg 3.31, 4 Pb 3.32
La 0.5000 0.5000 0.5000  2 Pb 3.31, 4 Hg 3.32
Hg 0.0000 0.0000 0.5000  6 La 3.31-3.32
Pb 0.5000 0.5000 0.0000  6 La 3.31-3.32


7.
The following is a PBE calculation of a geometry-optimized La2Hg4Pb3 structure, from Alexandria.

## Properties
Formation energy   -0.374 eV/atom
Spin magnetization   0.000 μB per cell
Symmetry   C2/m, No. 12

Lattice parameters (Å, degrees): 5.5820 5.5820 10.5140 99.75 99.75 52.86
Last column: nearest neighbours and their distance in Å.
Element x y z (fractional)
La 0.1554 0.1554 0.2130  7 Hg 3.26-3.41, 4 Pb 3.51-3.64
La 0.8446 0.8446 0.7870  7 Hg 3.26-3.41, 4 Pb 3.51-3.64
Hg 0.1724 0.1724 0.8925  4 La 3.26-3.41, 4 Pb 3.26-3.46, 4 Hg 3.52-3.63
Hg 0.4933 0.4933 0.3354  4 Pb 3.26-3.54, 3 La 3.35-3.38, 3 Hg 3.44-3.63
Hg 0.5067 0.5067 0.6646  4 Pb 3.26-3.54, 3 La 3.35-3.38, 3 Hg 3.44-3.63
Hg 0.8276 0.8276 0.1075  4 La 3.26-3.41, 4 Pb 3.26-3.46, 4 Hg 3.52-3.63
Pb 0.1700 0.1700 0.5625  4 Hg 3.26-3.46, 3 Pb 3.35-3.40, 3 La 3.64-3.65
Pb 0.5000 0.5000 0.0000  8 Hg 3.26-3.54, 4 La 3.51
Pb 0.8300 0.8300 0.4375  4 Hg 3.26-3.46, 3 Pb 3.35-3.40, 3 La 3.64-3.65


8.
The following is a PBE calculation of a geometry-optimized La2Hg2Pb structure, from Alexandria.

## Properties
Formation energy   -0.315 eV/atom
Spin magnetization   0.000 μB per cell
Excess energy over the best structure of this formula in the dataset   16.07 kJ per mole of atoms
Symmetry   I4/mmm, No. 139

Lattice parameters (Å, degrees): 8.9633 8.9633 8.9633 152.11 152.11 39.85
Last column: nearest neighbours and their distance in Å.
Element x y z (fractional)
La 0.0962 0.0962 0.0000  1 La 3.24, 4 Hg 3.37, 4 Pb 3.46
La 0.9038 0.9038 0.0000  1 La 3.24, 4 Hg 3.37, 4 Pb 3.46
Hg 0.2500 0.7500 0.5000  4 Hg 3.05, 4 La 3.37
Hg 0.7500 0.2500 0.5000  4 Hg 3.05, 4 La 3.37
Pb 0.5000 0.5000 0.0000  8 La 3.46